DFT (PBE) results for an optimized crystal structure of LiSmMgAu2.

Values from the calculation:
The total magnetic moment comes out at 0.000 μB per formula unit. As for the formation energy: -0.636 eV per atom.

Cell: 7.2200 7.2200 7.2200 Å, 147.84 147.84 46.12°
With the nearest neighbours (Å) after each atom.
Element x y z (fractional)
1 Li 0.0000 0.0000 0.0000  4 Au 2.75, 4 Mg 2.83
2 Sm 0.7500 0.2500 0.5000  8 Au 3.17
3 Mg 0.5000 0.5000 0.0000  4 Au 2.75, 4 Li 2.83
4 Au 0.1421 0.6421 0.5000  2 Li 2.75, 2 Mg 2.75, 1 Au 2.87
5 Au 0.3579 0.8579 0.5000  2 Li 2.75, 2 Mg 2.75, 1 Au 2.87